Na6Hg10Au, optimized geometry, DFT PBE; space group = P-31m; ρ = 8.856 Mg/m³; energy of formation = -3.27 eV per formula unit; raw total energy = -1.028 eV/atom
1.0
6.1351 0.0000 0.0000
0.0000 7.8711 -4.5444
0.0000 0.0000 9.0887
Hg Na Au
10 6 1
direct
0.7962 0.0000 0.2574
0.7962 0.2574 0.0000
0.5000 0.3333 0.6667
0.0000 0.3333 0.6667
0.2038 0.2574 0.2574
0.2038 0.0000 0.7426
0.7962 0.7426 0.7426
0.2038 0.7426 0.0000
0.0000 0.6667 0.3333
0.5000 0.6667 0.3333
0.7260 0.3826 0.3826
0.2740 0.3826 0.0000
0.7260 0.0000 0.6174
0.2740 0.6174 0.6174
0.2740 0.0000 0.3826
0.7260 0.6174 0.0000
0.5000 0.0000 0.0000

GeH, optimized geometry, DFT PBE; space group = Pm-3n; ρ = 3.884 Mg/m³; raw total energy = -3.208 eV/atom
1.0
-0.5465 -1.8702 -5.3971
5.7114 -0.1013 -0.5432
0.0818 -5.4238 1.8711
Ge H
6 6
direct
0.0000 0.5000 0.7500
0.5000 0.2500 0.0000
0.2500 0.0000 0.5000
0.5000 0.7500 0.0000
0.7500 0.0000 0.5000
0.0000 0.5000 0.2500
0.5000 0.0000 0.2500
0.0000 0.7500 0.5000
0.0000 0.2500 0.5000
0.5000 0.0000 0.7500
0.7500 0.5000 0.0000
0.2500 0.5000 0.0000

V3Ru, optimized geometry, DFT PBE; space group = Pmm2; ρ = 7.380 Mg/m³; energy of formation = 1.27 eV per formula unit; raw total energy = -8.839 eV/atom
1.0
2.7035 0.0000 0.0000
0.0000 2.4679 0.0000
0.0000 0.0000 8.5623
Ru V
1 3
direct
0.0000 0.0000 0.9623
0.5000 0.0000 0.7067
0.0000 0.5000 0.4660
0.5000 0.5000 0.1984

SrPtBr2, optimized geometry, DFT PBE; uncorrected formation energy = -65 kJ per mole of atoms; space group = Fm-3m; ρ = 7.420 Mg/m³; ΔE to the lowest computed polymorph = 0.470 eV per atom; raw total energy = -3.441 eV/atom
1.0
0.0000 3.6721 3.6721
3.6721 0.0000 3.6721
3.6721 3.6721 0.0000
Pt Br Sr
1 2 1
direct
0.5000 0.5000 0.5000
0.2500 0.2500 0.2500
0.7500 0.7500 0.7500
0.0000 0.0000 0.0000

Pr3HoPb5, optimized geometry, DFT PBE; space group = P6_3/mcm; ρ = 9.815 Mg/m³; energy of formation = -4.38 eV per formula unit; raw total energy = -4.648 eV/atom
1.0
6.6505 0.0000 0.0000
0.0000 8.4583 -4.8834
0.0000 0.0000 9.7668
Pb Pr Ho
10 6 2
direct
0.5000 0.3333 0.6667
0.7500 0.7189 0.0000
0.2500 0.2811 0.0000
0.2500 0.7189 0.7189
0.7500 0.2811 0.2811
0.5000 0.6667 0.3333
0.7500 0.0000 0.7189
0.0000 0.3333 0.6667
0.0000 0.6667 0.3333
0.2500 0.0000 0.2811
0.7500 0.0000 0.3823
0.2500 0.3823 0.3823
0.2500 0.6177 0.0000
0.7500 0.6177 0.6177
0.7500 0.3823 0.0000
0.2500 0.0000 0.6177
0.0000 0.0000 0.0000
0.5000 0.0000 0.0000

SrYSi2, optimized geometry, DFT PBE; uncorrected formation energy = -25 kJ per mole of atoms; space group = Cmmm; ρ = 4.060 Mg/m³; ΔE to the lowest computed polymorph = 0.175 eV per atom; raw total energy = -5.008 eV/atom
1.0
5.3786 -0.0090 -0.0041
-0.9996 5.2849 -0.0041
0.0025 0.0030 3.3488
Sr Si Y
1 2 1
direct
0.5000 0.0000 0.5000
0.5000 0.5000 0.0000
0.0000 0.0000 0.0000
0.0000 0.5000 0.5000

PmMg2SnBi, optimized geometry, DFT PBE; space group = Cmcm; ρ = 5.803 Mg/m³; energy of formation = -1.48 eV per formula unit; raw total energy = -3.461 eV/atom
1.0
-0.4553 -3.9135 1.6550
6.7786 2.9910 3.4203
-4.8293 3.3650 6.6283
Pm Mg Bi Sn
2 4 2 2
direct
0.5595 0.1191 0.2500
0.4405 0.8809 0.7500
0.1710 0.3419 0.9335
0.8290 0.6581 0.4335
0.8290 0.6581 0.0665
0.1710 0.3419 0.5665
0.7575 0.5151 0.7500
0.2425 0.4849 0.2500
0.0000 0.0000 0.0000
0.0000 0.0000 0.5000

Y2TmZr, optimized geometry, DFT PBE; space group = R-3m; ρ = 6.281 Mg/m³; ΔE to the lowest computed polymorph = 0.017 eV per atom; energy of formation = 0.37 eV per formula unit; raw total energy = -6.394 eV/atom
1.0
-1.0680 3.0296 -1.2313
-3.1186 0.2741 -1.4264
-5.7868 3.6546 9.2053
Tm Y Zr
1 2 1
direct
0.5000 0.5000 0.5000
0.7456 0.7456 0.7632
0.2544 0.2544 0.2368
0.0000 0.0000 0.0000

SrCaPrSbO6, optimized geometry, DFT PBE; uncorrected formation energy = -250 kJ per mole of atoms; space group = P-1; ρ = 5.458 Mg/m³; ΔE to the lowest computed polymorph = 0.000 eV per atom; raw total energy = -6.824 eV/atom
1.0
-1.7223 2.9217 4.7496
-4.5327 -3.9058 0.7684
4.9727 -4.8571 4.7270
O Sr Pr Sb Ca
12 2 2 2 2
direct
0.3811 0.9656 0.2266
0.8289 0.7815 0.4324
0.1711 0.2185 0.5676
0.7784 0.8179 0.0605
0.7161 0.3206 0.4597
0.6189 0.0344 0.7734
0.2216 0.1821 0.9395
0.3216 0.7251 0.9408
0.2839 0.6794 0.5403
0.9059 0.5625 0.7275
0.0941 0.4375 0.2725
0.6784 0.2749 0.0592
0.5114 0.5488 0.2527
0.4886 0.4512 0.7473
0.0000 0.5000 0.0000
0.5000 0.0000 0.5000
0.5000 0.0000 0.0000
0.0000 0.5000 0.5000
0.0143 0.9551 0.7525
0.9857 0.0449 0.2475

ZnMoPtC2, optimized geometry, DFT PBE; space group = P4/mmm; ρ = 7.597 Mg/m³; energy of formation = 7.21 eV per formula unit; raw total energy = -5.877 eV/atom
1.0
-3.0096 -1.3752 2.1359
2.6090 -4.6321 0.6937
1.6674 1.4288 3.2694
Mo C Pt Zn
1 2 1 1
direct
0.0000 0.0000 0.0000
0.5000 0.0000 0.0000
0.0000 0.0000 0.5000
0.0000 0.5000 0.0000
0.5000 0.5000 0.5000

HRu, optimized geometry, DFT PBE; space group = F-43m; ρ = 9.780 Mg/m³; raw total energy = -6.068 eV/atom
1.0
4.1081 0.0000 0.0000
0.0000 4.1081 0.0000
0.0000 0.0000 4.1081
Ru H
4 4
direct
0.5000 0.5000 0.5000
0.0000 0.0000 0.5000
0.5000 0.0000 0.0000
0.0000 0.5000 0.0000
0.7500 0.2500 0.2500
0.2500 0.7500 0.2500
0.7500 0.7500 0.7500
0.2500 0.2500 0.7500

Tm5Ni2Pt, optimized geometry, DFT PBE; space group = I4/mcm; ρ = 10.935 Mg/m³; energy of formation = -4.92 eV per formula unit; raw total energy = -5.610 eV/atom
1.0
6.5845 0.0000 -3.1082
-1.4672 6.4189 -3.1082
-0.0640 -0.0803 8.3928
Ni Tm Pt
4 10 2
direct
0.3757 0.8757 0.0000
0.8757 0.6243 0.0000
0.6243 0.1243 0.0000
0.1243 0.3757 0.0000
0.1905 0.0258 0.7164
0.5000 0.5000 0.0000
0.0258 0.5258 0.7164
0.5258 0.6905 0.7164
0.6905 0.1905 0.7164
0.3095 0.8095 0.2836
0.4742 0.3095 0.2836
0.0000 0.0000 0.0000
0.9742 0.4742 0.2836
0.8095 0.9742 0.2836
0.2500 0.2500 0.5000
0.7500 0.7500 0.5000

Q: Number 7 is which compound?
A: PmMg2SnBi